No. 1
KBiO3, optimized geometry, DFT GGA-PBE; uncorrected formation energy = -555 kJ/mol of formula units
1.0
-2.597 4.020 7.327
-8.167 -2.610 1.756
-2.710 -4.872 8.507
O Bi K
18 6 6
Cartesian
-11.689 -0.374 12.131
-5.584 -2.562 8.631
-4.603 1.632 5.321
-1.784 -3.088 5.459
-10.281 -3.611 14.576
-9.677 -2.644 7.350
-4.141 -1.432 5.844
-3.796 -0.819 10.241
-6.161 -0.223 3.762
-9.333 -2.030 11.747
-6.475 1.168 10.553
-7.890 -0.901 8.960
-8.202 -3.883 9.693
-6.372 -1.704 11.524
-7.102 -1.759 6.066
-5.272 0.420 7.897
-6.999 -4.631 7.037
-3.192 0.148 3.015
-10.843 -2.030 13.256
-5.855 -0.681 9.678
-7.640 -3.405 11.690
-7.619 -2.781 7.913
-2.631 -1.433 4.335
-5.834 -0.057 5.900
-1.298 2.010 3.664
-2.745 1.210 7.637
-10.728 -4.673 9.954
-6.452 -3.202 3.929
-7.022 -0.260 13.662
-4.083 -1.305 0.878

***

No. 2
KBiO3, optimized geometry, DFT GGA-PBE; uncorrected formation energy = 235 kJ/mol of formula units
1.0
-2.349 3.390 -0.909
-3.038 -1.417 2.569
1.757 2.083 3.226
O K Bi
3 1 1
Cartesian
-1.175 1.695 -0.454
-1.519 -0.708 1.285
0.879 1.041 1.613
0.000 0.000 0.000
-1.815 2.028 2.443

***

No. 3
K8Bi3O8, optimized geometry, DFT GGA-PBE; uncorrected formation energy = -2141 kJ/mol of formula units
1.0
6.102 0.093 -1.835
-0.476 8.025 -2.291
-0.714 -0.391 9.838
K O Bi
8 8 3
Cartesian
3.399 7.707 -1.386
1.514 0.020 7.097
4.760 2.196 4.595
-0.976 5.958 7.434
4.150 3.237 1.164
0.763 4.490 4.548
5.889 1.769 -1.722
0.152 5.531 1.117
3.246 2.133 -1.066
0.671 3.120 2.204
4.040 5.909 0.614
0.368 -0.039 2.221
4.242 4.607 3.508
0.873 1.818 5.098
4.544 7.766 3.491
1.667 5.594 6.778
1.542 1.457 3.126
3.370 6.270 2.586
2.813 4.059 -2.063

***

No. 4
K8BiO2, optimized geometry, DFT GGA-PBE; uncorrected formation energy = -647 kJ/mol of formula units
1.0
4.427 0.245 -0.197
-0.793 9.365 -6.539
0.605 -1.535 11.330
K Bi O
8 1 2
Cartesian
4.196 5.121 5.784
0.044 2.954 -1.189
3.235 3.133 1.658
2.361 2.159 5.376
1.005 4.942 2.936
3.857 7.766 1.448
0.383 0.309 3.147
1.879 5.916 -0.782
2.214 0.123 -0.098
-0.235 5.014 0.594
0.047 2.816 4.197

***

No. 5
K2Bi2O, optimized geometry, DFT GGA-PBE; energy relative to the lowest polymorph listed for this composition = 0 meV/atom; uncorrected formation energy = -121 kJ/mol of formula units
1.0
7.013 0.000 0.000
0.000 7.013 0.000
0.000 0.000 6.021
K Bi O
4 4 2
Cartesian
5.873 2.367 3.011
4.646 5.873 3.011
1.139 4.646 3.011
2.367 1.139 3.011
5.818 4.701 0.000
4.701 1.195 0.000
2.311 5.818 0.000
1.195 2.311 0.000
0.000 0.000 0.000
3.506 3.506 0.000

***

No. 6
K5BiO, optimized geometry, DFT GGA-PBE; uncorrected formation energy = -422 kJ/mol of formula units
1.0
-5.531 -1.241 4.938
1.978 -1.390 7.119
-1.859 9.089 7.022
K Bi O
10 2 2
Cartesian
1.491 0.882 8.868
-0.338 4.283 8.860
-5.849 6.848 13.703
-6.903 5.575 10.211
-1.221 2.230 11.266
-3.372 -0.183 4.198
-4.191 4.228 7.814
0.437 -0.391 5.376
-2.040 6.641 14.881
-5.073 2.175 10.219
-3.179 5.501 11.293
-2.232 0.956 7.787
-0.929 4.545 3.511
0.000 0.000 0.000

***

No. 7
KBi4O6, optimized geometry, DFT GGA-PBE; uncorrected formation energy = -961 kJ/mol of formula units
1.0
-3.222 4.592 -4.017
-1.829 -6.577 1.000
-0.191 -0.275 6.891
O Bi K
6 4 1
Cartesian
-2.525 -0.993 -1.508
-1.696 -5.869 4.707
-1.707 2.159 1.437
-1.185 -3.902 6.546
-2.481 2.262 -1.730
-1.900 -1.603 2.243
-2.807 -3.869 4.919
-1.052 -3.706 1.874
-0.456 -1.411 4.019
-2.947 -0.126 0.954
0.000 0.000 0.000

***

No. 8
KBiO3, optimized geometry, DFT GGA-PBE; uncorrected formation energy = -510 kJ/mol of formula units
1.0
-3.580 -2.176 -0.603
1.247 -2.847 2.874
-1.883 2.253 3.049
K O Bi
1 3 1
Cartesian
-2.108 -1.385 2.660
-0.942 1.126 1.524
0.623 -1.423 1.437
-1.790 -1.088 -0.302
0.000 0.000 0.000

***

Computed values of total moment (unit: μB/f.u.) for the preceding records, in sequence: 0.0 0.0 1.0 0.0 0.0 0.0 0.0 0.0.